one) Density functional theory data (PBE+U) for crystalline BaMn4O8 at its relaxed geometry.

## Properties
Spin magnetization   14.00 μB/f.u.
DOS(E_F)   0.231 states/eV per atom

a b c (Å): 7.084 7.084 9.760
angles (deg): 133.39 133.39 25.81
Sites, in units of the cell vectors:
Ba1 0.000 0.000 0.000
Mn1 0.151 0.151 0.487
Mn2 0.336 0.336 0.184
Mn3 0.664 0.664 0.816
Mn4 0.849 0.849 0.513
O1 0.042 0.042 0.713
O2 0.305 0.305 0.955
O3 0.333 0.333 0.375
O4 0.349 0.349 0.655
O5 0.651 0.651 0.345
O6 0.667 0.667 0.625
O7 0.695 0.695 0.045
O8 0.958 0.958 0.287

=====

two) Density functional theory data (PBE+U) for crystalline BaMn4O8 at its relaxed geometry.

## Properties
Spin magnetization   14.00 μB/f.u.
DOS(E_F)   0.158 states/eV per atom

a b c (Å): 5.628 5.628 8.136
angles (deg): 90.00 90.00 120.00
Sites, in units of the cell vectors:
Ba1 0.000 0.000 0.000
Mn1 0.333 0.667 0.230
Mn2 0.333 0.667 0.770
Mn3 0.667 0.333 0.230
Mn4 0.667 0.333 0.770
O1 0.000 0.356 0.271
O2 0.000 0.644 0.729
O3 0.333 0.667 0.000
O4 0.356 0.000 0.271
O5 0.356 0.356 0.729
O6 0.644 0.000 0.729
O7 0.644 0.644 0.271
O8 0.667 0.333 0.000

=====

How do the structures above rank in stability at the extremes? one) comes first and two) comes last.